A PBEsol-optimized structure of Li5Fe2Ni3O10, computed with meta-GGA SCAN.

Lattice parameters (Å, degrees): 5.0296 4.9897 7.4495 69.62 68.87 79.60
Fractional positions:
Li1 0.5096 0.7915 0.4050
Li2 0.4982 0.5998 0.7901
Li3 0.0000 0.5000 0.5000
Li4 0.5018 0.4002 0.2099
Li5 0.4904 0.2085 0.5950
Fe1 0.0035 0.8992 0.6887
Fe2 0.9965 0.1008 0.3113
Ni1 0.5000 0.0000 0.0000
Ni2 0.0021 0.3010 0.8978
Ni3 0.9979 0.6990 0.1022
O1 0.2149 0.9282 0.8451
O2 0.7589 0.6831 0.9557
O3 0.7652 0.8692 0.5515
O4 0.2341 0.7760 0.2303
O5 0.2182 0.5601 0.6589
O6 0.7818 0.4399 0.3411
O7 0.7659 0.2240 0.7697
O8 0.2348 0.1308 0.4485
O9 0.2411 0.3169 0.0443
O10 0.7851 0.0718 0.1549

Results
The size of the total moment comes out at 5.1 μB per cell. For the uncorrected formation energy, the calculation gives -1710 meV per atom. As for the total energy: -193.240 eV for the cell shown. The density of states at the Fermi level is 3.628 states/eV/f.u. The space group is P-1, No. 2.

---

A PBEsol-optimized structure of Li8FeO6, computed with meta-GGA SCAN.

Lattice parameters (Å, degrees): 5.2293 5.2724 5.7105 62.81 90.17 64.59
Fractional positions:
Li1 0.7709 0.1293 0.3566
Li2 0.2291 0.8707 0.6434
Li3 0.8992 0.5799 0.6637
Li4 0.1008 0.4201 0.3363
Li5 0.5152 0.2559 0.6431
Li6 0.4848 0.7441 0.3569
Li7 0.6239 0.6913 0.9777
Li8 0.3761 0.3087 0.0223
Fe1 0.0000 0.0000 0.0000
O1 0.8960 0.8761 0.7716
O2 0.1040 0.1239 0.2284
O3 0.7856 0.8438 0.2330
O4 0.2144 0.1562 0.7670
O5 0.4093 0.5010 0.2430
O6 0.5907 0.4990 0.7570

Results
The size of the total moment comes out at 4.0 μB per cell. For the uncorrected formation energy, the calculation gives -1962 meV per atom. As for the total energy: -104.070 eV for the cell shown. The space group is P-1, No. 2.

---

A PBEsol-optimized structure of Li5Fe4O8, computed with meta-GGA SCAN.

Lattice parameters (Å, degrees): 5.8586 5.8586 5.9597 60.56 60.56 60.00
Fractional positions:
Li1 0.9635 0.9635 0.5195
Li2 0.5535 0.9635 0.5195
Li3 0.1297 0.1297 0.6109
Li4 0.9635 0.5535 0.5195
Li5 0.4914 0.4914 0.5259
Fe1 0.9828 0.9828 0.0517
Fe2 0.4902 0.9892 0.0304
Fe3 0.4902 0.4902 0.0304
Fe4 0.9892 0.4902 0.0304
O1 0.2484 0.2484 0.2549
O2 0.7541 0.2202 0.8054
O3 0.2202 0.2202 0.8054
O4 0.2202 0.7541 0.8054
O5 0.7503 0.2309 0.2685
O6 0.7503 0.7503 0.2685
O7 0.2309 0.7503 0.2685
O8 0.7353 0.7353 0.7941

Results
The size of the total moment comes out at 15.0 μB per cell. For the uncorrected formation energy, the calculation gives -1802 meV per atom. As for the total energy: -164.950 eV for the cell shown. The density of states at the Fermi level is 3.962 states/eV/f.u. The space group is R3m, No. 160.

---

A PBEsol-optimized structure of Li3FeO3, computed with meta-GGA SCAN.

Lattice parameters (Å, degrees): 5.2876 5.2887 11.1796 90.00 90.00 115.49
Fractional positions:
Li1 0.7687 0.2368 0.2493
Li2 0.7382 0.2384 0.4996
Li3 0.7618 0.2616 0.9996
Li4 0.7313 0.2632 0.7493
Li5 0.7886 0.7075 0.6253
Li6 0.7114 0.7925 0.1253
Li7 0.2885 0.2075 0.8747
Li8 0.2114 0.2925 0.3747
Li9 0.2687 0.7368 0.2507
Li10 0.2382 0.7384 0.0004
Li11 0.2618 0.7616 0.5004
Li12 0.2313 0.7632 0.7507
Fe1 0.7828 0.7210 0.3606
Fe2 0.7172 0.7790 0.8606
Fe3 0.2828 0.2210 0.1394
Fe4 0.2172 0.2790 0.6394
O1 0.9901 0.5128 0.3702
O2 0.8404 0.6594 0.9907
O3 0.0128 0.9833 0.7500
O4 0.4901 0.0128 0.1298
O5 0.4872 0.5167 0.2500
O6 0.3404 0.1594 0.5093
O7 0.6596 0.8406 0.4907
O8 0.5128 0.4833 0.7500
O9 0.5099 0.9872 0.8702
O10 0.9872 0.0167 0.2500
O11 0.1596 0.3406 0.0093
O12 0.0099 0.4872 0.6298

Results
As for the energy above the most stable polymorph in this dataset: 0.062 eV/atom. The size of the total moment comes out at 20.0 μB per cell. For the uncorrected formation energy, the calculation gives -1922 meV per atom. As for the total energy: -229.798 eV for the cell shown. The space group is P2_1/c, No. 14.